# 1
# PaP2

PaP2 after structural relaxation (PBE-GGA, the Alexandria database).

Geometry as POSCAR:
```
PaP2
1.0
-2.855 0.846 2.466
1.129 -2.895 2.301
4.740 4.881 3.814
P Pa
4 2
direct
0.750 0.250 0.000
0.750 0.750 0.358
0.250 0.250 0.642
0.250 0.750 0.000
0.750 0.750 0.721
0.250 0.250 0.279
```

Computed properties:
- V (A^3/atom) = 19.43
- energy of formation (meV per atom) = -1041

---

# 2
# KNaY3

KNaY3 after structural relaxation (PBE-GGA, the Alexandria database).

Geometry as POSCAR:
```
KNaY3
1.0
-4.074 3.413 -2.027
-0.413 -3.253 -4.648
-3.948 -3.182 2.578
Na Y K
1 3 1
direct
0.500 0.500 0.500
0.500 0.000 0.000
0.000 0.500 0.000
0.000 0.000 0.500
0.000 0.000 0.000
```

Computed properties:
- V (A^3/atom) = 36.81
- distance to the lowest polymorph of the same formula (meV per atom) = 324
- energy of formation (meV per atom) = 1214

---

Q: The lowest energy of formation belongs to which entry?
A: PaP2

---

Repeat the second record exactly.
# KNaY3

KNaY3 after structural relaxation (PBE-GGA, the Alexandria database).

Geometry as POSCAR:
```
KNaY3
1.0
-4.074 3.413 -2.027
-0.413 -3.253 -4.648
-3.948 -3.182 2.578
Na Y K
1 3 1
direct
0.500 0.500 0.500
0.500 0.000 0.000
0.000 0.500 0.000
0.000 0.000 0.500
0.000 0.000 0.000
```

Computed properties:
- V (A^3/atom) = 36.81
- distance to the lowest polymorph of the same formula (meV per atom) = 324
- energy of formation (meV per atom) = 1214